Compound: MnZnO2
Source: Alexandria
Functional: PBE+U
Structure: optimized geometry Values from VASP.

Calculated total energy ... -96.8 eV per cell
Size of the total moment ... 20.0 μB/cell
D(E_F) ... 1.0 states/eV per cell
Mass density ... 4.84 g/cm³
SG ... No. 12

```
&SYSTEM
  ibrav = 0, nat = 16, ntyp = 3
/
ATOMIC_SPECIES
Mn 54.94 Mn.upf
Zn 65.41 Zn.upf
O 16.00 O.upf
CELL_PARAMETERS angstrom
8.201 -1.527 0.000
8.201 1.527 0.000
-8.087 0.000 8.350
ATOMIC_POSITIONS crystal
Mn 0.097 0.097 0.275
Mn 0.322 0.322 0.920
Mn 0.678 0.678 0.080
Mn 0.903 0.903 0.725
Zn 0.074 0.074 0.742
Zn 0.321 0.321 0.394
Zn 0.679 0.679 0.606
Zn 0.926 0.926 0.258
O 0.078 0.078 0.921
O 0.301 0.301 0.712
O 0.326 0.326 0.227
O 0.438 0.438 0.622
O 0.562 0.562 0.378
O 0.674 0.674 0.773
O 0.699 0.699 0.288
O 0.922 0.922 0.079
```